(1)
# Li2Ca, optimized geometry, DFT PBEsol
data_Li2Ca
_chemical_formula_sum 'Li2 Ca1'
_cell_length_a 3.791
_cell_length_b 3.791
_cell_length_c 6.236
_cell_angle_alpha 107.70
_cell_angle_beta 107.70
_cell_angle_gamma 90.00
_symmetry_space_group_name_H-M 'P 1'
_symmetry_Int_Tables_number 1
loop_
_symmetry_equiv_pos_as_xyz
'x,y,z'
loop_
_atom_site_label
_atom_site_type_symbol
_atom_site_fract_x
_atom_site_fract_y
_atom_site_fract_z
Ca1 Ca 0.500 0.500 0.000
Li1 Li 0.191 0.191 0.382
Li2 Li 0.809 0.809 0.618
# Formation enthalpy at 0 K, eV per formula unit: 0.03
# Final energy, eV/f.u.: -6.03
# Relative energy among the computed polymorphs, eV/atom: 0.027
# Fermi-level density of states, states/eV/atom: 0.7414


(2)
# CrCd2Ag, optimized geometry, DFT PBEsol
data_CrCd2Ag
_chemical_formula_sum 'Cr1 Cd2 Ag1'
_cell_length_a 3.091
_cell_length_b 5.094
_cell_length_c 4.900
_cell_angle_alpha 102.70
_cell_angle_beta 90.00
_cell_angle_gamma 107.66
_symmetry_space_group_name_H-M 'P 1'
_symmetry_Int_Tables_number 1
loop_
_symmetry_equiv_pos_as_xyz
'x,y,z'
loop_
_atom_site_label
_atom_site_type_symbol
_atom_site_fract_x
_atom_site_fract_y
_atom_site_fract_z
Ag1 Ag 0.755 0.510 0.253
Cd1 Cd 0.003 0.007 0.009
Cd2 Cd 0.245 0.489 0.737
Cr1 Cr 0.497 0.994 0.501
# Formation enthalpy at 0 K, eV per formula unit: 1.18
# Final energy, eV/f.u.: -14.77
# Fermi-level density of states, states/eV/atom: 0.4730


(3)
# La2YHRh, optimized geometry, DFT PBEsol
data_La2YHRh
_chemical_formula_sum 'La2 Y1 H1 Rh1'
_cell_length_a 4.598
_cell_length_b 4.598
_cell_length_c 5.041
_cell_angle_alpha 90.00
_cell_angle_beta 90.00
_cell_angle_gamma 90.00
_symmetry_space_group_name_H-M 'P 1'
_symmetry_Int_Tables_number 1
loop_
_symmetry_equiv_pos_as_xyz
'x,y,z'
loop_
_atom_site_label
_atom_site_type_symbol
_atom_site_fract_x
_atom_site_fract_y
_atom_site_fract_z
Y1 Y 0.000 0.000 0.500
H1 H 0.000 0.000 0.000
Rh1 Rh 0.500 0.500 0.500
La1 La 0.000 0.500 0.000
La2 La 0.500 0.000 0.000
# Final energy, eV/f.u.: -29.65
# Fermi-level density of states, states/eV/atom: 1.1367


(4)
# CdSn3As, optimized geometry, DFT PBEsol
data_CdSn3As
_chemical_formula_sum 'Cd1 Sn3 As1'
_cell_length_a 5.298
_cell_length_b 5.298
_cell_length_c 5.298
_cell_angle_alpha 90.00
_cell_angle_beta 90.00
_cell_angle_gamma 90.00
_symmetry_space_group_name_H-M 'P 1'
_symmetry_Int_Tables_number 1
loop_
_symmetry_equiv_pos_as_xyz
'x,y,z'
loop_
_atom_site_label
_atom_site_type_symbol
_atom_site_fract_x
_atom_site_fract_y
_atom_site_fract_z
As1 As 0.000 0.000 0.000
Sn1 Sn 0.000 0.500 0.000
Sn2 Sn 0.000 0.000 0.500
Sn3 Sn 0.500 0.000 0.000
Cd1 Cd 0.500 0.500 0.500
# Formation enthalpy at 0 K, eV per formula unit: 2.67
# Final energy, eV/f.u.: -16.42
# Fermi-level density of states, states/eV/atom: 0.8432